Entry 1:
The following is a PBE calculation of InTc2Cl after structural relaxation, from Alexandria via LeMat-Bulk.

```
data_InTc2Cl
_chemical_formula_sum 'In1 Tc2 Cl1'
_cell_length_a 3.2208
_cell_length_b 4.0677
_cell_length_c 6.1160
_cell_angle_alpha 90.00
_cell_angle_beta 90.00
_cell_angle_gamma 90.00
_symmetry_space_group_name_H-M 'P 1'
_symmetry_Int_Tables_number 1
_symmetry_space_group_name_Hall 'P 1'
loop_
_atom_site_label
_atom_site_fract_x
_atom_site_fract_y
_atom_site_fract_z
In1 0.0000 0.0000 0.0000
Tc1 0.5000 0.5000 0.1821
Tc2 0.5000 0.5000 0.8179
Cl1 0.5000 0.0000 0.5000
```

Values from the calculation:
- formation energy without anion corrections (eV/atom) = 0.54
- SG = No. 47
- volume (A^3/atom) = 20.03


Entry 2:
The following is a PBE calculation of Tm4InCu2Rh after structural relaxation, from Alexandria via LeMat-Bulk.

```
data_Tm4InCu2Rh
_chemical_formula_sum 'Tm4 In1 Cu2 Rh1'
_cell_length_a 8.5582
_cell_length_b 8.5582
_cell_length_c 8.5582
_cell_angle_alpha 33.57
_cell_angle_beta 33.57
_cell_angle_gamma 33.57
_symmetry_space_group_name_H-M 'P 1'
_symmetry_Int_Tables_number 1
_symmetry_space_group_name_Hall 'P 1'
loop_
_atom_site_label
_atom_site_fract_x
_atom_site_fract_y
_atom_site_fract_z
Tm1 0.1161 0.1161 0.1161
Tm2 0.3685 0.3685 0.3685
Tm3 0.6315 0.6315 0.6315
Tm4 0.8839 0.8839 0.8839
In1 0.5000 0.5000 0.5000
Cu1 0.2420 0.2420 0.2420
Cu2 0.7580 0.7580 0.7580
Rh1 0.0000 0.0000 0.0000
```

Values from the calculation:
- energy of formation (eV per atom) = -0.50
- SG = No. 166
- volume (A^3/atom) = 21.34


Entry 3:
The following is a PBE calculation of ZrZnTe2 after structural relaxation, from Alexandria via LeMat-Bulk.

```
data_ZrZnTe2
_chemical_formula_sum 'Zr1 Zn1 Te2'
_cell_length_a 3.6959
_cell_length_b 3.6727
_cell_length_c 7.0000
_cell_angle_alpha 90.00
_cell_angle_beta 99.19
_cell_angle_gamma 90.00
_symmetry_space_group_name_H-M 'P 1'
_symmetry_Int_Tables_number 1
_symmetry_space_group_name_Hall 'P 1'
loop_
_atom_site_label
_atom_site_fract_x
_atom_site_fract_y
_atom_site_fract_z
Zr1 0.0000 0.0000 0.0000
Zn1 0.0000 0.0000 0.5000
Te1 0.4276 0.5000 0.7610
Te2 0.5724 0.5000 0.2390
```

Values from the calculation:
- formation energy without anion corrections (eV/atom) = -0.45
- SG = No. 10
- volume (A^3/atom) = 23.45


Entry 4:
The following is a PBE calculation of Pa2InTc after structural relaxation, from Alexandria via LeMat-Bulk.

```
data_Pa2InTc
_chemical_formula_sum 'Pa2 In1 Tc1'
_cell_length_a 3.2047
_cell_length_b 3.2047
_cell_length_c 8.8326
_cell_angle_alpha 90.00
_cell_angle_beta 90.00
_cell_angle_gamma 90.00
_symmetry_space_group_name_H-M 'P 1'
_symmetry_Int_Tables_number 1
_symmetry_space_group_name_Hall 'P 1'
loop_
_atom_site_label
_atom_site_fract_x
_atom_site_fract_y
_atom_site_fract_z
Pa1 0.0000 0.0000 0.2104
Pa2 0.0000 0.0000 0.7896
In1 0.5000 0.5000 0.5000
Tc1 0.5000 0.5000 0.0000
```

Values from the calculation:
- energy of formation (eV per atom) = -0.20
- SG = No. 123
- volume (A^3/atom) = 22.68


Entry 5:
The following is a PBE calculation of CeTmZnNi after structural relaxation, from Alexandria via LeMat-Bulk.

```
data_CeTmZnNi
_chemical_formula_sum 'Ce1 Tm1 Zn1 Ni1'
_cell_length_a 4.9174
_cell_length_b 4.9174
_cell_length_c 4.9174
_cell_angle_alpha 60.00
_cell_angle_beta 60.00
_cell_angle_gamma 60.00
_symmetry_space_group_name_H-M 'P 1'
_symmetry_Int_Tables_number 1
_symmetry_space_group_name_Hall 'P 1'
loop_
_atom_site_label
_atom_site_fract_x
_atom_site_fract_y
_atom_site_fract_z
Ce1 0.0000 0.0000 0.0000
Tm1 0.5000 0.5000 0.5000
Zn1 0.7500 0.7500 0.7500
Ni1 0.2500 0.2500 0.2500
```

Values from the calculation:
- energy of formation (eV per atom) = -0.27
- SG = No. 216
- volume (A^3/atom) = 21.02


Entry 6:
The following is a PBE calculation of InSiW after structural relaxation, from Alexandria via LeMat-Bulk.

```
data_InSiW
_chemical_formula_sum 'In1 Si1 W1'
_cell_length_a 4.2985
_cell_length_b 4.2985
_cell_length_c 4.2985
_cell_angle_alpha 60.00
_cell_angle_beta 60.00
_cell_angle_gamma 60.00
_symmetry_space_group_name_H-M 'P 1'
_symmetry_Int_Tables_number 1
_symmetry_space_group_name_Hall 'P 1'
loop_
_atom_site_label
_atom_site_fract_x
_atom_site_fract_y
_atom_site_fract_z
In1 0.0000 0.0000 0.0000
Si1 0.7500 0.7500 0.7500
W1 0.5000 0.5000 0.5000
```

Values from the calculation:
- formation energy without anion corrections (eV/atom) = 0.75
- SG = No. 216
- volume (A^3/atom) = 18.72


Entry 7:
The following is a PBE calculation of DyY2Ho3 after structural relaxation, from Alexandria via LeMat-Bulk.

```
data_DyY2Ho3
_chemical_formula_sum 'Dy2 Y4 Ho6'
_cell_length_a 7.1492
_cell_length_b 7.1492
_cell_length_c 8.7847
_cell_angle_alpha 90.05
_cell_angle_beta 101.70
_cell_angle_gamma 119.96
_symmetry_space_group_name_H-M 'P 1'
_symmetry_Int_Tables_number 1
_symmetry_space_group_name_Hall 'P 1'
loop_
_atom_site_label
_atom_site_fract_x
_atom_site_fract_y
_atom_site_fract_z
Dy1 0.9999 0.2491 0.0013
Dy2 0.0001 0.7509 0.9987
Y1 0.2215 0.3602 0.6659
Y2 0.2787 0.6399 0.3343
Y3 0.7213 0.3601 0.6657
Y4 0.7785 0.6398 0.3341
Ho1 0.2226 0.8620 0.6669
Ho2 0.2775 0.1380 0.3333
Ho3 0.4998 0.2490 0.0012
Ho4 0.5002 0.7510 0.9988
Ho5 0.7225 0.8620 0.6667
Ho6 0.7774 0.1380 0.3331
```

Values from the calculation:
- energy of formation (eV per atom) = 0.00
- SG = No. 2
- volume (A^3/atom) = 31.51


Entry 8:
The following is a PBE calculation of LiThAl2 after structural relaxation, from Alexandria via LeMat-Bulk.

```
data_LiThAl2
_chemical_formula_sum 'Li1 Th1 Al2'
_cell_length_a 5.9300
_cell_length_b 5.9300
_cell_length_c 5.9300
_cell_angle_alpha 42.98
_cell_angle_beta 42.98
_cell_angle_gamma 42.98
_symmetry_space_group_name_H-M 'P 1'
_symmetry_Int_Tables_number 1
_symmetry_space_group_name_Hall 'P 1'
loop_
_atom_site_label
_atom_site_fract_x
_atom_site_fract_y
_atom_site_fract_z
Li1 0.0000 0.0000 0.0000
Th1 0.5000 0.5000 0.5000
Al1 0.2937 0.2937 0.2937
Al2 0.7063 0.7063 0.7063
```

Values from the calculation:
- energy of formation (eV per atom) = -0.21
- SG = No. 166
- volume (A^3/atom) = 21.96